1.
A relaxed structure of Ca2Co2Pt, computed with PBE.

Cell: 6.518 6.518 4.401 Å, 90.00 90.00 90.00°
Space group P4/mbm (No. 127)
Symmetry-distinct sites (fractional):
Ca1 0.185 0.315 0.000 x4
Co1 0.119 0.619 0.500 x4
Pt1 0.000 0.000 0.500 x2

## Properties
Calculated total energy, eV per atom: -5.00
Total moment, Bohr magnetons per cell: 3.99
E_form, eV per atom: -0.1493



2.
A relaxed structure of LaTlPt2, computed with PBE.

Cell: 5.693 5.693 15.193 Å, 90.00 90.00 90.00°
Space group I-42d (No. 122)
Symmetry-distinct sites (fractional):
La1 0.000 0.000 0.000 x4
Tl1 0.000 0.000 0.500 x4
Pt1 0.230 0.250 0.625 x8

## Properties
Calculated total energy, eV per atom: -5.14
Total moment, Bohr magnetons per cell: 0.00
E_form, eV per atom: -0.2963



Question: E_form of number 1 (Ca2Co2Pt)?
Answer: -0.1493 eV per atom



Please write out number 2 again, unchanged.
A relaxed structure of LaTlPt2, computed with PBE.

Cell: 5.693 5.693 15.193 Å, 90.00 90.00 90.00°
Space group I-42d (No. 122)
Symmetry-distinct sites (fractional):
La1 0.000 0.000 0.000 x4
Tl1 0.000 0.000 0.500 x4
Pt1 0.230 0.250 0.625 x8

## Properties
Calculated total energy, eV per atom: -5.14
Total moment, Bohr magnetons per cell: 0.00
E_form, eV per atom: -0.2963



Question: Among the records above, which one has the highest E_form?
Answer: Ca2Co2Pt